No. 1
GGA-PBE PrNp2CrN4, optimized geometry; total magnetic moment = 0.51 μB/atom; ΔE_f (raw) = -1.014 eV per atom; E_tot = -10.212 eV per atom; density of states at the Fermi level = 19.84 states/eV/cell
1.0
3.394 0.000 0.000
-1.697 5.783 0.000
0.000 0.000 11.414
N Np Cr Pr
8 4 2 2
Direct
0.735 0.470 0.882
0.265 0.530 0.382
0.265 0.530 0.118
0.567 0.133 0.250
0.433 0.867 0.750
0.000 0.000 0.000
0.000 0.000 0.500
0.735 0.470 0.618
0.368 0.736 0.949
0.368 0.736 0.551
0.632 0.264 0.449
0.632 0.264 0.051
0.162 0.324 0.250
0.838 0.676 0.750
0.900 0.799 0.250
0.100 0.201 0.750

=====

No. 2
GGA-PBE Pr2NpCr2N6, optimized geometry; total magnetic moment = 0.27 μB/atom; ΔE_f (raw) = -0.775 eV per atom; E_tot = -9.112 eV per atom; density of states at the Fermi level = 8.30 states/eV/cell
1.0
-3.742 -4.024 -1.404
1.820 -5.051 -1.826
-0.588 -4.968 4.353
N Pr Cr Np
6 2 2 1
Direct
0.745 0.234 0.275
0.255 0.766 0.725
0.766 0.255 0.725
0.234 0.745 0.275
0.255 0.255 0.725
0.745 0.745 0.275
0.790 0.790 0.631
0.210 0.210 0.369
0.402 0.402 0.795
0.598 0.598 0.205
0.000 0.000 0.000

=====

No. 3
GGA-PBE PrNpCrN4, optimized geometry; total magnetic moment = 0.34 μB/atom; ΔE_f (raw) = -0.886 eV per atom; E_tot = -9.549 eV per atom; density of states at the Fermi level = 17.06 states/eV/cell
1.0
-4.681 -2.258 -0.495
1.263 -1.545 -4.900
4.701 -4.271 2.558
Np N Cr Pr
2 8 2 2
Direct
0.109 0.250 0.217
0.891 0.750 0.783
0.414 0.750 0.829
0.000 0.000 0.500
0.500 0.500 0.500
0.000 0.500 0.500
0.945 0.250 0.890
0.586 0.250 0.171
0.055 0.750 0.110
0.500 0.000 0.500
0.269 0.750 0.538
0.731 0.250 0.462
0.606 0.750 0.211
0.394 0.250 0.789

=====

No. 4
GGA-PBE PrNpCrN3, optimized geometry; total magnetic moment = 0.52 μB/atom; ΔE_f (raw) = -0.907 eV per atom; E_tot = -9.627 eV per atom; density of states at the Fermi level = 14.35 states/eV/cell
1.0
3.372 0.000 0.000
0.000 7.375 0.661
0.000 -2.136 7.022
N Pr Cr Np
6 2 2 2
Direct
0.250 0.126 0.850
0.250 0.566 0.866
0.750 0.434 0.134
0.750 0.181 0.478
0.750 0.874 0.150
0.250 0.819 0.522
0.250 0.180 0.204
0.750 0.820 0.796
0.750 0.915 0.413
0.250 0.085 0.587
0.250 0.654 0.175
0.750 0.346 0.825

=====

No. 5
GGA-PBE PuNp2CrN4, optimized geometry; total magnetic moment = 1.11 μB/atom; ΔE_f (raw) = -0.957 eV per atom; E_tot = -11.349 eV per atom; density of states at the Fermi level = 31.35 states/eV/cell
1.0
-1.193 -1.845 -2.471
-2.708 -1.899 4.937
-8.301 7.568 -1.643
Np Cr N Pu
4 2 8 2
Direct
0.368 0.736 0.553
0.632 0.264 0.053
0.632 0.264 0.447
0.368 0.736 0.947
0.158 0.316 0.250
0.842 0.684 0.750
0.553 0.107 0.250
0.272 0.545 0.378
0.000 0.000 0.500
0.728 0.455 0.878
0.447 0.893 0.750
0.272 0.545 0.122
0.000 0.000 0.000
0.728 0.455 0.622
0.896 0.792 0.250
0.104 0.208 0.750

=====

No. 6
GGA-PBE Pu2NpCrN4, optimized geometry; total magnetic moment = 1.33 μB/atom; ΔE_f (raw) = -0.945 eV per atom; E_tot = -11.511 eV per atom; density of states at the Fermi level = 29.83 states/eV/cell
1.0
-1.119 -2.516 1.757
-2.191 -0.732 -5.479
9.255 -6.129 -2.882
Pu Np N Cr
4 2 8 2
Direct
0.367 0.734 0.552
0.633 0.266 0.448
0.367 0.734 0.948
0.633 0.266 0.052
0.109 0.218 0.750
0.891 0.782 0.250
0.547 0.094 0.250
0.277 0.554 0.130
0.277 0.554 0.370
0.000 0.000 0.500
0.723 0.446 0.870
0.000 0.000 0.000
0.723 0.446 0.630
0.453 0.906 0.750
0.847 0.695 0.750
0.153 0.305 0.250

=====

No. 7
GGA-PBE Sm2NpCrN5, optimized geometry; total magnetic moment = 0.11 μB/atom; ΔE_f (raw) = -1.091 eV per atom; E_tot = -9.272 eV per atom; density of states at the Fermi level = 12.60 states/eV/cell
1.0
3.443 0.000 0.000
-1.722 6.763 0.000
0.000 0.000 10.294
Sm N Np Cr
4 10 2 2
Direct
0.138 0.276 0.314
0.894 0.787 0.185
0.106 0.213 0.685
0.862 0.724 0.814
0.320 0.640 0.386
0.632 0.265 0.502
0.714 0.428 0.151
0.036 0.072 0.026
0.368 0.735 0.002
0.286 0.572 0.651
0.964 0.928 0.526
0.680 0.360 0.886
0.491 0.981 0.788
0.509 0.019 0.288
0.203 0.406 0.014
0.797 0.594 0.514
0.518 0.036 0.956
0.482 0.964 0.456

=====

No. 8
GGA-PBE SrNp2CrN4, optimized geometry; total magnetic moment = 1.06 μB/atom; ΔE_f (raw) = -0.934 eV per atom; E_tot = -9.745 eV per atom; density of states at the Fermi level = 24.10 states/eV/cell
1.0
-0.070 2.114 2.755
-5.467 -2.770 -0.203
4.123 -8.632 6.729
Np N Cr Sr
4 8 2 2
Direct
0.370 0.740 0.547
0.630 0.260 0.453
0.370 0.740 0.953
0.630 0.260 0.047
0.745 0.491 0.889
0.594 0.188 0.250
0.255 0.509 0.389
0.255 0.509 0.111
0.000 0.000 0.500
0.406 0.812 0.750
0.745 0.491 0.611
0.000 0.000 0.000
0.173 0.346 0.250
0.827 0.654 0.750
0.092 0.184 0.750
0.908 0.816 0.250

=====

No. 9
GGA-PBE SrNpCrN3, optimized geometry; total magnetic moment = 0.41 μB/atom; ΔE_f (raw) = -0.902 eV per atom; E_tot = -9.106 eV per atom; density of states at the Fermi level = 12.39 states/eV/cell
1.0
3.706 0.000 0.000
-1.853 6.558 0.057
0.000 -1.844 6.760
Cr N Sr Np
2 6 2 2
Direct
0.998 0.996 0.671
0.002 0.004 0.329
0.166 0.332 0.370
0.157 0.314 0.780
0.497 0.994 0.704
0.843 0.686 0.220
0.834 0.668 0.630
0.503 0.006 0.296
0.362 0.725 0.931
0.638 0.275 0.069
0.655 0.310 0.581
0.345 0.690 0.419

=====

No. 10
GGA-PBE Np2TaCrN5, optimized geometry; total magnetic moment = 0.09 μB/atom; ΔE_f (raw) = -1.001 eV per atom; E_tot = -10.889 eV per atom; density of states at the Fermi level = 24.39 states/eV/cell
1.0
-0.106 -2.008 -2.454
-3.793 -2.927 4.609
-8.088 4.820 -3.596
Np N Ta Cr
4 10 2 2
Direct
0.853 0.707 0.803
0.897 0.794 0.185
0.147 0.293 0.303
0.103 0.206 0.685
0.281 0.562 0.657
0.676 0.353 0.870
0.514 0.027 0.280
0.370 0.740 0.999
0.719 0.438 0.157
0.050 0.099 0.062
0.630 0.260 0.499
0.486 0.973 0.780
0.324 0.647 0.370
0.950 0.901 0.562
0.793 0.585 0.509
0.207 0.415 0.009
0.525 0.050 0.959
0.475 0.950 0.459